# PBE Nd14HoPb, optimized geometry
# Energy relative to the elements in eV per formula unit: -0.8
# Uncorrected energy in eV per atom: -4.74
data_Nd14HoPb
_chemical_formula_sum 'Nd14 Ho1 Pb1'
_space_group_name_H-M_alt 'P 4/m m m'
_space_group_IT_number 123
_space_group_name_Hall '-P 4 2'
_cell_length_a 7.2655
_cell_length_b 7.2655
_cell_length_c 10.3263
_cell_angle_alpha 90.00
_cell_angle_beta 90.00
_cell_angle_gamma 90.00
loop_
_atom_site_label
_atom_site_fract_x
_atom_site_fract_y
_atom_site_fract_z
Nd1 0.0000 0.0000 0.0000
Nd2 0.0000 0.5000 0.0000
Nd3 0.0000 0.5000 0.5000
Nd4 0.2486 0.2486 0.2550
Nd5 0.5000 0.5000 0.0000
Ho1 0.5000 0.5000 0.5000
Pb1 0.0000 0.0000 0.5000

# PBE La2InGa3Rh4, optimized geometry
# Energy relative to the elements in eV per formula unit: -7.6
# Uncorrected energy in eV per atom: -5.87
data_La2InGa3Rh4
_chemical_formula_sum 'La2 In1 Ga3 Rh4'
_space_group_name_H-M_alt 'P -4 m 2'
_space_group_IT_number 115
_cell_length_a 4.3737
_cell_length_b 4.3737
_cell_length_c 10.4206
_cell_angle_alpha 90.00
_cell_angle_beta 90.00
_cell_angle_gamma 90.00
loop_
_space_group_symop_operation_xyz
'x,y,z'
'y,-x,-z'
'-x,-y,z'
'-y,x,-z'
'-x,y,z'
'-y,-x,-z'
'x,-y,z'
'y,x,-z'
loop_
_atom_site_label
_atom_site_fract_x
_atom_site_fract_y
_atom_site_fract_z
La1 0.0000 0.5000 0.2330
In1 0.0000 0.0000 0.5000
Ga1 0.0000 0.5000 0.8821
Ga2 0.5000 0.5000 0.5000
Rh1 0.0000 0.0000 0.0000
Rh2 0.0000 0.5000 0.6435
Rh3 0.5000 0.5000 0.0000

# PBE LaAs2Se, optimized geometry
# Uncorrected formation energy in kJ/mol of atoms: -46.8
# Distance to the lowest polymorph of the same formula in eV per atom: 0.498
# Uncorrected energy in eV per atom: -4.91
data_LaAs2Se
_chemical_formula_sum 'La3 As6 Se3'
_space_group_name_H-M_alt 'R -3 m'
_space_group_IT_number 166
_space_group_name_Hall '-R 3 2"'
_cell_length_a 4.9241
_cell_length_b 4.9241
_cell_length_c 14.4443
_cell_angle_alpha 90.00
_cell_angle_beta 90.00
_cell_angle_gamma 120.00
loop_
_atom_site_label
_atom_site_fract_x
_atom_site_fract_y
_atom_site_fract_z
La1 0.0000 0.0000 0.0000
As1 0.0000 0.0000 0.2042
Se1 0.0000 0.0000 0.5000

# PBE Cs2ZrGaTe4, optimized geometry
# Uncorrected formation energy in kJ/mol of atoms: -77.9
# Uncorrected energy in eV per atom: -4.04
data_Cs2ZrGaTe4
_chemical_formula_sum 'Cs16 Zr8 Ga8 Te32'
_space_group_name_H-M_alt 'F d d d'
_space_group_IT_number 70
_cell_length_a 7.1994
_cell_length_b 15.2389
_cell_length_c 27.4176
_cell_angle_alpha 90.00
_cell_angle_beta 90.00
_cell_angle_gamma 90.00
loop_
_space_group_symop_operation_xyz
'x,y,z'
'-x,-y,-z'
'-x+1/4,-y+1/4,z'
'x+1/4,y+1/4,-z'
'x,-y+1/4,-z+1/4'
'-x,y+1/4,z+1/4'
'-x+1/4,y,-z+1/4'
'x+1/4,-y,z+1/4'
'x,y+1/2,z+1/2'
'-x,-y+1/2,-z+1/2'
'-x+1/4,-y+3/4,z+1/2'
'x+1/4,y+3/4,-z+1/2'
'x,-y+3/4,-z+3/4'
'-x,y+3/4,z+3/4'
'-x+1/4,y+1/2,-z+3/4'
'x+1/4,-y+1/2,z+3/4'
'x+1/2,y,z+1/2'
'-x+1/2,-y,-z+1/2'
'-x+3/4,-y+1/4,z+1/2'
'x+3/4,y+1/4,-z+1/2'
'x+1/2,-y+1/4,-z+3/4'
'-x+1/2,y+1/4,z+3/4'
'-x+3/4,y,-z+3/4'
'x+3/4,-y,z+3/4'
'x+1/2,y+1/2,z'
'-x+1/2,-y+1/2,-z'
'-x+3/4,-y+3/4,z'
'x+3/4,y+3/4,-z'
'x+1/2,-y+3/4,-z+1/4'
'-x+1/2,y+3/4,z+1/4'
'-x+3/4,y+1/2,-z+1/4'
'x+3/4,-y+1/2,z+1/4'
loop_
_atom_site_label
_atom_site_fract_x
_atom_site_fract_y
_atom_site_fract_z
Cs1 0.1250 0.1250 0.3052
Zr1 0.1250 0.1250 0.1250
Ga1 0.1250 0.1250 0.6250
Te1 0.1239 0.2768 0.4291

# PBE CeNd2Ho3Te6, optimized geometry
# Uncorrected formation energy in kJ/mol of atoms: -128.7
# Uncorrected energy in eV per atom: -5.34
data_CeNd2Ho3Te6
_chemical_formula_sum 'Ce2 Nd4 Ho6 Te12'
_space_group_name_H-M_alt 'C 1 2/m 1'
_space_group_IT_number 12
_cell_length_a 19.3791
_cell_length_b 4.3651
_cell_length_c 8.9480
_cell_angle_alpha 90.00
_cell_angle_beta 104.88
_cell_angle_gamma 90.00
loop_
_space_group_symop_operation_xyz
'x,y,z'
'-x,-y,-z'
'-x,y,-z'
'x,-y,z'
'x+1/2,y+1/2,z'
'-x+1/2,-y+1/2,-z'
'-x+1/2,y+1/2,-z'
'x+1/2,-y+1/2,z'
loop_
_atom_site_label
_atom_site_fract_x
_atom_site_fract_y
_atom_site_fract_z
Ce1 0.0000 0.0000 0.0000
Nd1 0.1664 0.5000 0.3329
Ho1 0.0000 0.0000 0.5000
Ho2 0.1681 0.5000 0.8348
Te1 0.0036 0.5000 0.7428
Te2 0.1638 0.0000 0.5914
Te3 0.1691 0.0000 0.0758

# PBE Th2BiTe, optimized geometry
# Uncorrected formation energy in kJ/mol of atoms: -80.0
# Distance to the lowest polymorph of the same formula in eV per atom: 0.011
# Uncorrected energy in eV per atom: -6.29
data_Th2BiTe
_chemical_formula_sum 'Th2 Bi1 Te1'
_space_group_name_H-M_alt 'P 4/m m m'
_space_group_IT_number 123
_space_group_name_Hall '-P 4 2'
_cell_length_a 3.8980
_cell_length_b 3.8980
_cell_length_c 7.7848
_cell_angle_alpha 90.00
_cell_angle_beta 90.00
_cell_angle_gamma 90.00
loop_
_atom_site_label
_atom_site_fract_x
_atom_site_fract_y
_atom_site_fract_z
Th1 0.0000 0.0000 0.2484
Bi1 0.5000 0.5000 0.0000
Te1 0.5000 0.5000 0.5000

Q: Which formula does entry 1 have?
A: Nd14HoPb

Q: Among the records above, which one has the lowest uncorrected energy?
A: Th2BiTe